## P
First-principles (PBE-GGA) data for an optimized crystal structure of K2BaF4, as listed in the Alexandria database.

```
data_K2BaF4
_chemical_formula_sum 'K4 Ba2 F8'
_symmetry_space_group_name_H-M 'I 4/m m m'
_symmetry_Int_Tables_number 139
_symmetry_space_group_name_Hall '-I 4 2'
_cell_length_a 5.090
_cell_length_b 5.090
_cell_length_c 14.038
_cell_angle_alpha 90.00
_cell_angle_beta 90.00
_cell_angle_gamma 90.00
loop_
_atom_site_label
_atom_site_fract_x
_atom_site_fract_y
_atom_site_fract_z
_atom_site_occupancy
K1 0.000 0.000 0.145 1
Ba1 0.000 0.000 0.500 1
F1 0.000 0.000 0.319 1
F2 0.000 0.500 0.000 1
```

---

## Q
First-principles (PBE-GGA) data for an optimized crystal structure of K2BaF4, as listed in the Alexandria database.

```
data_K2BaF4
_chemical_formula_sum 'K8 Ba4 F16'
_symmetry_space_group_name_H-M 'I 41/a m d'
_symmetry_Int_Tables_number 141
_cell_length_a 8.300
_cell_length_b 8.300
_cell_length_c 8.208
_cell_angle_alpha 90.00
_cell_angle_beta 90.00
_cell_angle_gamma 90.00
loop_
_symmetry_equiv_pos_as_xyz
'x,y,z'
'-x,-y,-z'
'-y+1/4,x+3/4,z+1/4'
'y+1/4,-x+3/4,-z+1/4'
'-x+1/2,-y,z+1/2'
'x+1/2,y,-z+1/2'
'y+1/4,-x+1/4,z+3/4'
'-y+1/4,x+1/4,-z+3/4'
'x,-y,-z'
'-x,y,z'
'-y+1/4,-x+1/4,-z+3/4'
'y+1/4,x+1/4,z+3/4'
'-x+1/2,y,-z+1/2'
'x+1/2,-y,z+1/2'
'y+1/4,x+3/4,-z+1/4'
'-y+1/4,-x+3/4,z+1/4'
'x+1/2,y+1/2,z+1/2'
'-x+1/2,-y+1/2,-z+1/2'
'-y+3/4,x+1/4,z+3/4'
'y+3/4,-x+1/4,-z+3/4'
'-x,-y+1/2,z'
'x,y+1/2,-z'
'y+3/4,-x+3/4,z+1/4'
'-y+3/4,x+3/4,-z+1/4'
'x+1/2,-y+1/2,-z+1/2'
'-x+1/2,y+1/2,z+1/2'
'-y+3/4,-x+3/4,-z+1/4'
'y+3/4,x+3/4,z+1/4'
'-x,y+1/2,-z'
'x,-y+1/2,z'
'y+3/4,x+1/4,-z+3/4'
'-y+3/4,-x+1/4,z+3/4'
loop_
_atom_site_label
_atom_site_fract_x
_atom_site_fract_y
_atom_site_fract_z
_atom_site_occupancy
K1 0.000 0.000 0.000 1
Ba1 0.000 0.250 0.375 1
F1 0.000 0.065 0.678 1
```

---

Q takes first place; second place is 127 meV/atom up.